Crystalline K2ReIr at its relaxed geometry. Source: Alexandria, functional GGA-PBE.

Calculated values
Density of states at the Fermi level in states/eV per atom: 1.155
DFT formation energy in meV/atom: 1141
Uncorrected energy in eV/atom: -4.735
Offset from the most stable computed form in eV/f.u.: 2.31
Theoretical density in g cm⁻³: 9.547

a = 5.493 Å, b = 11.675 Å, c = 2.824 Å
α = 90.00°, β = 118.72°, γ = 90.00°
Atoms (fractional coordinates):
K1 0.250 0.250 0.000
K2 0.250 0.750 0.000
K3 0.750 0.250 0.000
K4 0.750 0.750 0.000
Re1 0.000 0.000 0.500
Re2 0.500 0.500 0.500
Ir1 0.000 0.500 0.500
Ir2 0.500 0.000 0.500

=====

Crystalline DyHoTl at its relaxed geometry. Source: Alexandria, functional GGA-PBE.

Calculated values
Density of states at the Fermi level in states/eV per atom: 1.200
DFT formation energy in meV/atom: 233
Uncorrected energy in eV/atom: -3.616
Offset from the most stable computed form in eV/f.u.: 1.47
Theoretical density in g cm⁻³: 7.962

a = 9.462 Å, b = 9.532 Å, c = 4.919 Å
α = 90.00°, β = 90.00°, γ = 90.00°
Atoms (fractional coordinates):
Dy1 0.000 0.188 0.000
Dy2 0.000 0.812 0.000
Dy3 0.500 0.312 0.000
Dy4 0.500 0.688 0.000
Ho1 0.187 0.500 0.500
Ho2 0.313 0.000 0.500
Ho3 0.687 0.000 0.500
Ho4 0.813 0.500 0.500
Tl1 0.000 0.000 0.500
Tl2 0.000 0.500 0.000
Tl3 0.500 0.000 0.000
Tl4 0.500 0.500 0.500

=====

Crystalline LaNd2SmBi5 at its relaxed geometry. Source: Alexandria, functional GGA-PBE.

Calculated values
Density of states at the Fermi level in states/eV per atom: 0.872
DFT formation energy in meV/atom: -128
Uncorrected energy in eV/atom: -4.416
Theoretical density in g cm⁻³: 7.261

a = 5.511 Å, b = 5.511 Å, c = 12.220 Å
α = 90.00°, β = 90.00°, γ = 90.00°
Atoms (fractional coordinates):
La1 0.000 0.000 0.000
Nd1 0.500 0.500 0.272
Nd2 0.500 0.500 0.728
Sm1 0.000 0.000 0.500
Bi1 0.000 0.000 0.249
Bi2 0.000 0.000 0.751
Bi3 0.000 0.500 0.500
Bi4 0.500 0.000 0.500
Bi5 0.500 0.500 0.000